Record 1
Here is La2CdIn after structural relaxation from the Alexandria database. Energies are from PBE.

The space group is Imm2 (No. 44) and the conventional cell measures 4.0761, 5.3250 and 11.0806 Å, with angles of 90.00, 90.00 and 90.00 degrees. The asymmetric unit holds La at (0.0000, 0.0000, 0.0000), La at (0.0000, 0.5000, 0.2273), Cd at (0.0000, 0.5000, 0.7602) and In at (0.0000, 0.0000, 0.4569).

The total magnetization comes out at 0.0 μB per formula unit. Its total energy is -3.753 eV/atom.

Record 2
Here is Nd3SmHo5 after structural relaxation from the Alexandria database. Energies are from PBE.

The space group is C2/c (No. 15) and the conventional cell measures 18.3794, 6.3667 and 11.4806 Å, with angles of 90.00, 112.12 and 90.00 degrees. The asymmetric unit holds Nd at (0.0000, 0.0000, 0.0000), Nd at (0.1713, 0.1863, 0.3718), Sm at (0.0000, 0.4083, 0.2500), Ho at (0.0000, 0.1172, 0.7500), Ho at (0.1605, 0.3050, 0.0149) and Ho at (0.1691, 0.2898, 0.7134).

The total magnetization comes out at 0.0 μB per formula unit. Its offset from the most stable computed form is 0.000 eV/atom. Its total energy is -4.369 eV/atom.